# 1
5
Lattice="-3.571 -2.841 -1.087 2.335 -1.485 -3.788 1.950 -3.425 2.544" Properties=species:S:1:pos:R:3 comment="Ni3TeS | Alexandria via LeMat-Bulk | PBE | relaxed" e_form_raw_ev_per_atom=0.98 sg="No. 221" relative_energy_ev_per_atom=0.883 pbc="T T T"
Ni 1.167 -0.743 -1.894
Ni 0.975 -1.713 1.272
Ni -1.786 -1.420 -0.544
S 0.356 -3.875 -1.166
Te 0.000 0.000 0.000



# 2
10
Lattice="-3.799 0.967 1.178 0.846 -0.501 -3.974 -3.946 -17.098 1.317" Properties=species:S:1:pos:R:3 comment="Pr2Ni2I | Alexandria via LeMat-Bulk | PBE | relaxed" e_form_raw_ev_per_atom=-0.68 sg="No. 194" relative_energy_ev_per_atom=0.000 pbc="T T T"
Pr -2.389 -10.352 0.798
Pr -1.557 -6.746 0.520
Pr -0.416 -1.803 0.139
Pr -3.530 -15.295 1.178
Ni -4.224 -8.071 0.119
Ni -4.648 -17.110 -0.939
Ni -2.251 0.478 -0.539
Ni -2.675 -8.561 -1.598
I -3.237 -3.797 -0.210
I -3.662 -12.835 -1.268



# 3
6
Lattice="5.103 0.000 0.000 2.551 4.492 0.001 -2.551 -1.388 4.271" Properties=species:S:1:pos:R:3 comment="ZrGaCu | Alexandria via LeMat-Bulk | PBE | relaxed" formation_energy_ev_per_atom=-0.39 sg="No. 74" pbc="T T T"
Zr 2.553 3.781 1.909
Zr 5.105 2.333 2.961
Ga 2.554 0.811 2.434
Ga 5.105 3.751 0.300
Cu 1.278 1.505 0.298
Cu 3.829 1.505 0.298



# 4
16
Lattice="-4.005 0.936 4.359 3.789 -2.375 3.991 3.144 7.253 1.332" Properties=species:S:1:pos:R:3 comment="MgAgAu14 | Alexandria via LeMat-Bulk | PBE | relaxed" formation_energy_ev_per_atom=-0.10 sg="No. 123" pbc="T T T"
Mg 1.382 2.368 7.973
Ag 1.491 3.087 3.797
Au -0.190 -1.259 7.307
Au -0.081 -0.540 3.132
Au -0.512 3.555 5.977
Au -2.084 -0.072 5.311
Au 3.385 1.900 5.793
Au 1.813 -1.727 5.127
Au -1.253 2.125 3.560
Au 0.304 5.718 4.220
Au 2.677 0.456 3.375
Au 4.234 4.049 4.034
Au 0.657 0.928 5.573
Au 2.215 4.521 6.233
Au 0.767 1.654 1.362
Au 2.324 5.246 2.022



# 5
24
Lattice="-2.365 -0.324 4.107 6.572 -2.868 3.558 2.237 7.454 1.876" Properties=species:S:1:pos:R:3 comment="TmZn2Co9 | Alexandria via LeMat-Bulk | PBE | relaxed" formation_energy_ev_per_atom=-0.10 sg="No. 127" pbc="T T T"
Tm 4.405 2.293 2.717
Tm 0.000 0.000 0.000
Zn 4.332 -0.890 2.425
Zn 4.477 5.475 3.010
Zn 1.633 2.501 1.138
Zn 7.176 2.084 4.297
Co 2.104 -1.596 3.832
Co -0.064 3.565 2.991
Co 4.750 2.037 5.642
Co 1.695 2.224 3.899
Co 2.278 6.185 4.546
Co 4.167 -1.924 4.995
Co 3.244 3.885 4.921
Co 3.201 0.376 4.620
Co -0.268 1.203 2.688
Co 6.713 3.059 6.853
Co 4.315 -0.205 6.668
Co 0.879 4.296 5.044
Co 0.707 0.156 4.619
Co 4.488 3.935 7.094
Co 2.130 4.467 2.873
Co 5.566 -0.034 4.497
Co 5.738 4.106 4.922
Co 1.957 0.327 2.447



# 6
10
Lattice="-3.925 -0.936 0.212 0.476 -3.464 -6.472 2.853 -10.791 5.202" Properties=species:S:1:pos:R:3 comment="GeSbSe2I | Alexandria via LeMat-Bulk | PBE | relaxed" e_form_raw_ev_per_atom=-0.23 sg="No. 11" pbc="T T T"
Ge 0.974 -8.343 0.453
Ge -1.568 -6.848 -1.511
Sb -0.850 -1.183 -1.708
Sb 0.255 -14.007 0.650
Se -0.952 -9.325 -1.038
Se 0.357 -5.865 -0.020
Se -2.378 -3.530 -1.853
Se 1.783 -11.661 0.795
I -0.074 -5.148 -4.849
I -0.521 -10.043 3.791



# 7
20
Lattice="-4.608 -5.707 6.637 -3.130 -8.684 -3.508 10.449 4.065 0.312" Properties=species:S:1:pos:R:3 comment="Sm5Y3Tm2 | Alexandria via LeMat-Bulk | PBE | relaxed" formation_energy_ev_per_atom=0.19 sg="No. 15" pbc="T T T"
Sm -2.416 -5.912 -0.009
Sm 5.127 -4.414 3.450
Sm 3.193 -4.630 -2.385
Sm 2.379 -3.107 2.666
Sm -0.482 -5.695 5.826
Sm 0.332 -7.219 0.775
Sm 1.800 -7.583 3.892
Sm 0.911 -2.743 -0.451
Sm 5.864 -0.013 2.270
Sm -3.153 -10.313 1.171
Y 5.845 -5.892 -1.629
Y -3.134 -4.434 5.070
Y -2.176 -7.261 3.155
Y 4.887 -3.065 0.286
Y 0.072 -5.861 -2.395
Y 2.638 -4.465 5.836
Tm 4.205 -1.654 5.240
Tm -1.494 -8.672 -1.799
Tm 3.411 -5.919 0.908
Tm -0.700 -4.407 2.533



# 8
6
Lattice="4.877 0.002 -0.007 0.003 6.915 -0.002 2.422 0.017 6.390" Properties=species:S:1:pos:R:3 comment="CsHBr | Alexandria via LeMat-Bulk | PBE | relaxed" sg="No. 1" relative_energy_ev_per_atom=0.717 pbc="T T T"
Cs 4.485 2.971 0.890
Cs 4.483 6.435 3.876
H 2.051 4.712 2.140
H 2.050 1.284 2.197
Br 2.053 3.002 3.704
Br 4.501 6.430 0.116



no.,final energy (eV for the cell shown)
1,-19.711
2,-52.116
3,-33.700
4,-52.000
5,-144.296
6,-36.865
7,-100.035
8,-14.242